Ta3TlHg PBE optimized geometry; formation enthalpy at 0 K = 11.4 eV per formula unit; symmetry = Pm-3m, No. 221; E above lowest polymorph = 237 meV per atom
1.0
5.074 0.000 0.000
0.000 5.074 0.000
0.000 0.000 5.074
Ta Tl Hg
3 1 1
Direct
0.000 0.000 0.500
0.000 0.500 0.000
0.500 0.000 0.000
0.000 0.000 0.000
0.500 0.500 0.500



TaTlHg4 PBE optimized geometry; formation enthalpy at 0 K = 4.4 eV per formula unit; symmetry = F-43m, No. 216
1.0
0.000 4.173 4.173
4.173 0.000 4.173
4.173 4.173 0.000
Hg Tl Ta
4 1 1
Direct
0.874 0.375 0.375
0.375 0.375 0.375
0.375 0.375 0.874
0.375 0.874 0.375
0.000 0.000 0.000
0.750 0.750 0.750



TaTlHg2W PBE optimized geometry; formation enthalpy at 0 K = 9.5 eV per formula unit; symmetry = P4/mmm, No. 123
1.0
5.217 0.000 0.000
0.000 5.217 0.000
0.000 0.000 5.246
Hg Tl W Ta
2 1 1 1
Direct
0.000 0.500 0.000
0.500 0.000 0.000
0.000 0.000 0.500
0.000 0.000 0.000
0.500 0.500 0.500



TaV2Hg PBE optimized geometry; formation enthalpy at 0 K = 3.4 eV per formula unit; symmetry = I-42d, No. 122
1.0
-1.036 -3.221 6.348
-1.641 -6.134 -3.380
1.319 -5.420 1.541
Ta V Hg
2 4 2
Direct
0.500 0.500 0.000
0.250 0.750 0.500
0.375 0.384 0.750
0.134 0.625 0.250
0.875 0.866 0.750
0.616 0.125 0.250
0.750 0.250 0.500
0.000 0.000 0.000



Ta3VHg PBE optimized geometry; formation enthalpy at 0 K = 5.7 eV per formula unit; symmetry = Pm-3m, No. 221; E above lowest polymorph = 0 meV per atom
1.0
4.666 0.000 0.000
0.000 4.666 0.000
0.000 0.000 4.666
Hg Ta V
1 3 1
Direct
0.500 0.500 0.500
0.000 0.500 0.000
0.500 0.000 0.000
0.000 0.000 0.500
0.000 0.000 0.000



Ta3VHg PBE optimized geometry; formation enthalpy at 0 K = 11.9 eV per formula unit; symmetry = Pm-3m, No. 221; E above lowest polymorph = 1243 meV per atom
1.0
-3.862 -0.554 3.140
2.190 -4.046 1.979
2.317 2.899 3.362
Hg Ta V
1 3 1
Direct
0.000 0.000 0.000
0.000 0.500 0.000
0.500 0.000 0.000
0.000 0.000 0.500
0.500 0.500 0.500